one.
## LiMo2I (PBE-GGA)

Data for LiMo2I after structural relaxation.

```
LiMo2I
1.0
0.000 3.187 3.187
3.187 0.000 3.187
3.187 3.187 0.000
Mo Li I
2 1 1
Direct
0.250 0.250 0.250
0.750 0.750 0.750
0.000 0.000 0.000
0.500 0.500 0.500
```

Values from the calculation:
Its space group is Fm-3m (225). For the spin magnetization, the calculation gives 0.0 μB/f.u.



two.
## LiMo2I (PBE-GGA)

Data for LiMo2I after structural relaxation.

```
LiMo2I
1.0
-0.588 -3.415 -1.441
3.587 -0.156 -1.094
4.099 -6.091 7.873
I Li Mo
2 2 4
Direct
0.750 0.250 0.500
0.000 0.000 0.000
0.500 0.500 0.000
0.250 0.750 0.500
0.375 0.372 0.750
0.875 0.878 0.750
0.628 0.125 0.250
0.122 0.625 0.250
```

Values from the calculation:
Its space group is I-42d (122). For the spin magnetization, the calculation gives 0.0 μB/f.u.



Name the most stable of them. two.



one.
## LiMoI2 (PBE-GGA)

Data for LiMoI2 after structural relaxation.

```
LiMoI2
1.0
0.000 3.504 3.504
3.504 0.000 3.504
3.504 3.504 0.000
I Li Mo
2 1 1
Direct
0.250 0.250 0.250
0.750 0.750 0.750
0.000 0.000 0.000
0.500 0.500 0.500
```

Values from the calculation:
Its space group is Fm-3m (225). For the spin magnetization, the calculation gives 1.0 μB/f.u.



two.
## LiMoI2 (PBE-GGA)

Data for LiMoI2 after structural relaxation.

```
LiMoI2
1.0
-6.320 1.806 -0.430
-1.617 -4.603 4.426
-3.038 3.035 6.948
I Li Mo
4 2 2
Direct
0.605 0.125 0.250
0.145 0.625 0.250
0.875 0.855 0.750
0.375 0.395 0.750
0.500 0.500 0.000
0.250 0.750 0.500
0.000 0.000 0.000
0.750 0.250 0.500
```

Values from the calculation:
Its space group is I-42d (122). For the spin magnetization, the calculation gives 5.0 μB/f.u.



Name the most stable of them. two.



one.
## LiMoIN2 (PBE-GGA)

Data for LiMoIN2 after structural relaxation.

```
LiMoIN2
1.0
3.934 0.000 0.000
0.000 3.934 0.000
0.000 0.000 5.894
N Li I Mo
2 1 1 1
Direct
0.500 0.000 0.000
0.000 0.500 0.000
0.500 0.500 0.500
0.000 0.000 0.500
0.000 0.000 0.000
```

Values from the calculation:
Its space group is P4/mmm (123). For the spin magnetization, the calculation gives 0.0 μB/f.u.



two.
## LiMoIN2 (PBE-GGA)

Data for LiMoIN2 after structural relaxation.

```
LiMoIN2
1.0
3.879 0.000 0.000
0.000 3.879 0.000
0.000 0.000 4.678
Li N Mo I
1 2 1 1
Direct
0.000 0.000 0.000
0.000 0.500 0.000
0.500 0.000 0.000
0.500 0.500 0.500
0.000 0.000 0.500
```

Values from the calculation:
Its space group is P4/mmm (123). For the spin magnetization, the calculation gives 0.0 μB/f.u.



Name the most stable of them. one.